No. 1
The following is a GGA-PBE calculation of an optimized crystal structure of Si2SbRu, from Alexandria.

The density of states at the Fermi level comes out at 0.60 states/eV per atom. As for the formation energy from raw total energies: 0.095 eV/atom.

It has space group R-3m (No. 166, hexagonal axes), with a = 3.1049 Å, b = 3.1049 Å, c = 25.1891 Å, α = 90.00°, β = 90.00° and γ = 120.00°. The inequivalent atoms are Si at (0.0000, 0.0000, 0.2344), Sb at (0.0000, 0.0000, 0.0000) and Ru at (0.0000, 0.0000, 0.5000).

No. 2
The following is a GGA-PBE calculation of an optimized crystal structure of Al2Tl2Si, from Alexandria.

The density of states at the Fermi level comes out at 0.39 states/eV per atom. As for the formation energy from raw total energies: 0.265 eV/atom.

It has space group P4/mbm (No. 127), with a = 6.675 Å, b = 6.675 Å, c = 5.281 Å, α = 90.00°, β = 90.00° and γ = 90.00°. The inequivalent atoms are Al at (0.141, 0.359, 0.000), Tl at (0.181, 0.681, 0.500) and Si at (0.000, 0.000, 0.000).

No. 3
The following is a GGA-PBE calculation of an optimized crystal structure of Na2CuPtRh, from Alexandria.

The density of states at the Fermi level comes out at 1.09 states/eV per atom. The calculation puts the energy above the lowest structure with this stoichiometry at 0.0 meV per atom. The value obtained for the formation energy from the elements is 0.85 eV per atom.

It has space group P4/mmm (No. 123), with a = 4.717 Å, b = 4.717 Å, c = 4.735 Å, α = 90.00°, β = 90.00° and γ = 90.00°. The inequivalent atoms are Na at (0.000, 0.500, 0.000), Cu at (0.000, 0.000, 0.000), Pt at (0.000, 0.000, 0.500) and Rh at (0.500, 0.500, 0.500).

No. 4
The following is a GGA-PBE calculation of an optimized crystal structure of Al2CrHPt, from Alexandria.

The density of states at the Fermi level comes out at 0.37 states/eV per atom. As for the final energy: -5.703 eV per atom.

It has space group P4/mmm (No. 123), with a = 4.090 Å, b = 4.090 Å, c = 3.477 Å, α = 90.00°, β = 90.00° and γ = 90.00°. The inequivalent atoms are Al at (0.000, 0.500, 0.000), Cr at (0.000, 0.000, 0.500), H at (0.000, 0.000, 0.000) and Pt at (0.500, 0.500, 0.500).

No. 5
The following is a GGA-PBE calculation of an optimized crystal structure of KMoAu2, from Alexandria.

The density of states at the Fermi level comes out at 1.98 states/eV per atom. The calculation puts the energy above the lowest structure with this stoichiometry at 561.3 meV per atom. The value obtained for the formation energy from the elements is 0.85 eV per atom.

It has space group I-42d (No. 122), with a = 7.878 Å, b = 7.878 Å, c = 7.401 Å, α = 90.00°, β = 90.00° and γ = 90.00°. The inequivalent atoms are K at (0.000, 0.000, 0.000), Mo at (0.000, 0.000, 0.500) and Au at (0.164, 0.250, 0.625).

No. 6
The following is a GGA-PBE calculation of an optimized crystal structure of Nd4CdIn2Ga, from Alexandria.

The density of states at the Fermi level comes out at 0.97 states/eV per atom. The value obtained for the formation energy from the elements is -0.46 eV per atom.

It has space group R-3m (No. 166, hexagonal axes), with a = 5.4308 Å, b = 5.4308 Å, c = 26.4684 Å, α = 90.00°, β = 90.00° and γ = 120.00°. The inequivalent atoms are Nd at (0.0000, 0.0000, 0.1199), Nd at (0.0000, 0.0000, 0.3708), Cd at (0.0000, 0.0000, 0.5000), In at (0.0000, 0.0000, 0.2448) and Ga at (0.0000, 0.0000, 0.0000).

Please write out number 5 again, unchanged.
The following is a GGA-PBE calculation of an optimized crystal structure of KMoAu2, from Alexandria.

The density of states at the Fermi level comes out at 1.98 states/eV per atom. The calculation puts the energy above the lowest structure with this stoichiometry at 561.3 meV per atom. The value obtained for the formation energy from the elements is 0.85 eV per atom.

It has space group I-42d (No. 122), with a = 7.878 Å, b = 7.878 Å, c = 7.401 Å, α = 90.00°, β = 90.00° and γ = 90.00°. The inequivalent atoms are K at (0.000, 0.000, 0.000), Mo at (0.000, 0.000, 0.500) and Au at (0.164, 0.250, 0.625).